Below is YTmSiS after structural relaxation, with properties calculated at the GGA-PBE level.

Unit cell a=3.987 b=3.987 c=7.000 alpha=73.45 beta=73.45 gamma=60.00
Positions (direct):
Y 0.693 0.693 0.920
Tm 0.195 0.195 0.416
Si 0.943 0.943 0.172
S 0.446 0.446 0.663

Summary:
* E_form (uncorrected): -1.364 eV per atom
* total DFT energy (no corrections): -6.485 eV/atom